#w
AgPdBr2 | PBE | relaxed

* M_tot: 0.2500 μB/atom

a = 4.950 Å, b = 4.950 Å, c = 4.950 Å
α = 60.00°, β = 60.00°, γ = 60.00°
Fractional coordinates of all 4 atoms:
Ag 0.000 0.000 0.000
Pd 0.500 0.500 0.500
Br 0.250 0.250 0.250
Br 0.750 0.750 0.750

---

#x
AgPdBr2 | PBE | relaxed

* M_tot: 0.2500 μB/atom

a = 8.173 Å, b = 8.173 Å, c = 8.173 Å
α = 29.24°, β = 29.24°, γ = 29.24°
Fractional coordinates of all 4 atoms:
Ag 0.000 0.000 0.000
Pd 0.500 0.500 0.500
Br 0.107 0.107 0.107
Br 0.893 0.893 0.893

---

Most stable structure: #x

---

#w
Ag3PdBr6 | PBE | relaxed

* M_tot: 0.0525 μB/atom

a = 7.411 Å, b = 6.922 Å, c = 12.641 Å
α = 90.00°, β = 124.93°, γ = 90.00°
Fractional coordinates of all 20 atoms:
Ag 0.000 0.000 0.000
Ag 0.000 0.500 0.500
Ag 0.257 0.012 0.727
Ag 0.257 0.488 0.227
Ag 0.743 0.512 0.773
Ag 0.743 0.988 0.273
Pd 0.500 0.000 0.500
Pd 0.500 0.500 0.000
Br 0.126 0.180 0.451
Br 0.126 0.320 0.951
Br 0.274 0.694 0.420
Br 0.274 0.806 0.920
Br 0.374 0.095 0.272
Br 0.374 0.405 0.772
Br 0.626 0.595 0.228
Br 0.626 0.905 0.728
Br 0.726 0.194 0.080
Br 0.726 0.306 0.580
Br 0.874 0.680 0.049
Br 0.874 0.820 0.549

---

#x
Ag3PdBr6 | PBE | relaxed

* M_tot: 0.0539 μB/atom

a = 7.035 Å, b = 7.063 Å, c = 12.811 Å
α = 90.00°, β = 119.16°, γ = 90.00°
Fractional coordinates of all 20 atoms:
Ag 0.000 0.000 0.000
Ag 0.000 0.500 0.500
Ag 0.142 0.126 0.664
Ag 0.142 0.374 0.164
Ag 0.858 0.626 0.836
Ag 0.858 0.874 0.336
Pd 0.500 0.000 0.500
Pd 0.500 0.500 0.000
Br 0.168 0.045 0.293
Br 0.168 0.455 0.793
Br 0.257 0.698 0.076
Br 0.257 0.802 0.576
Br 0.396 0.204 0.073
Br 0.396 0.296 0.573
Br 0.604 0.704 0.427
Br 0.604 0.796 0.927
Br 0.743 0.198 0.424
Br 0.743 0.302 0.924
Br 0.832 0.545 0.207
Br 0.832 0.955 0.707

---

Most stable structure: #w

---

#w
Rb2PrAgBr6 | PBE | relaxed

* M_tot: 0.0000 μB/atom

a = 8.148 Å, b = 8.148 Å, c = 8.148 Å
α = 60.00°, β = 60.00°, γ = 60.00°
Fractional coordinates of all 10 atoms:
Rb 0.250 0.250 0.250
Rb 0.750 0.750 0.750
Pr 0.000 0.000 0.000
Ag 0.500 0.500 0.500
Br 0.252 0.252 0.748
Br 0.252 0.748 0.252
Br 0.252 0.748 0.748
Br 0.748 0.252 0.252
Br 0.748 0.252 0.748
Br 0.748 0.748 0.252

---

#x
Rb2PrAgBr6 | PBE | relaxed

* M_tot: 0.0000 μB/atom

a = 7.949 Å, b = 8.262 Å, c = 13.665 Å
α = 90.00°, β = 125.14°, γ = 90.00°
Fractional coordinates of all 20 atoms:
Rb 0.229 0.067 0.249
Rb 0.229 0.433 0.749
Rb 0.771 0.567 0.251
Rb 0.771 0.933 0.751
Pr 0.500 0.000 0.000
Pr 0.500 0.500 0.500
Ag 0.000 0.000 0.500
Ag 0.000 0.500 0.000
Br 0.159 0.201 0.955
Br 0.159 0.299 0.455
Br 0.258 0.707 0.957
Br 0.258 0.793 0.457
Br 0.332 0.018 0.745
Br 0.332 0.482 0.245
Br 0.668 0.518 0.755
Br 0.668 0.982 0.255
Br 0.742 0.207 0.543
Br 0.742 0.293 0.043
Br 0.841 0.701 0.545
Br 0.841 0.799 0.045

---

Most stable structure: #x

---

#w
AgPtBr6 | PBE | relaxed

* M_tot: 0.0000 μB/atom

a = 6.641 Å, b = 6.641 Å, c = 7.051 Å
α = 103.61°, β = 103.61°, γ = 114.82°
Fractional coordinates of all 8 atoms:
Ag 0.000 0.000 0.000
Pt 0.500 0.500 0.500
Br 0.109 0.423 0.263
Br 0.294 0.294 0.709
Br 0.423 0.109 0.263
Br 0.577 0.891 0.737
Br 0.706 0.706 0.291
Br 0.891 0.577 0.737

---

#x
AgPtBr6 | PBE | relaxed

* M_tot: 0.0000 μB/atom

a = 6.420 Å, b = 6.746 Å, c = 6.768 Å
α = 65.26°, β = 89.01°, γ = 62.91°
Fractional coordinates of all 8 atoms:
Ag 0.000 0.000 0.000
Pt 0.500 0.000 0.500
Br 0.105 0.174 0.254
Br 0.260 0.176 0.742
Br 0.476 0.416 0.281
Br 0.524 0.584 0.719
Br 0.740 0.824 0.258
Br 0.895 0.826 0.746

---

Most stable structure: #w

---

#w
Ag3PtBr | PBE | relaxed

* M_tot: 0.0000 μB/atom

a = 5.037 Å, b = 5.037 Å, c = 5.037 Å
α = 90.00°, β = 90.00°, γ = 90.00°
Fractional coordinates of all 5 atoms:
Ag 0.000 0.000 0.500
Ag 0.000 0.500 0.000
Ag 0.500 0.000 0.000
Pt 0.500 0.500 0.500
Br 0.000 0.000 0.000

---

#x
Ag3PtBr | PBE | relaxed

* M_tot: 0.0000 μB/atom

a = 5.169 Å, b = 5.169 Å, c = 5.169 Å
α = 90.00°, β = 90.00°, γ = 90.00°
Fractional coordinates of all 5 atoms:
Ag 0.000 0.000 0.500
Ag 0.000 0.500 0.000
Ag 0.500 0.000 0.000
Pt 0.000 0.000 0.000
Br 0.500 0.500 0.500

---

Most stable structure: #x

---

#w
Ag2PtBr8 | PBE | relaxed

* M_tot: 0.0000 μB/atom

a = 7.609 Å, b = 7.609 Å, c = 8.075 Å
α = 96.44°, β = 96.44°, γ = 57.12°
Fractional coordinates of all 11 atoms:
Ag 0.141 0.141 0.393
Ag 0.859 0.859 0.607
Pt 0.000 0.000 0.000
Br 0.054 0.054 0.706
Br 0.111 0.635 0.897
Br 0.319 0.319 0.527
Br 0.365 0.889 0.103
Br 0.635 0.111 0.897
Br 0.681 0.681 0.473
Br 0.889 0.365 0.103
Br 0.946 0.946 0.294

---

#x
Ag2PtBr8 | PBE | relaxed

* M_tot: 0.0000 μB/atom

a = 8.215 Å, b = 8.215 Å, c = 7.072 Å
α = 109.90°, β = 109.90°, γ = 85.81°
Fractional coordinates of all 11 atoms:
Ag 0.144 0.144 0.109
Ag 0.856 0.856 0.891
Pt 0.000 0.000 0.500
Br 0.090 0.774 0.675
Br 0.217 0.217 0.812
Br 0.226 0.910 0.325
Br 0.403 0.403 0.332
Br 0.597 0.597 0.668
Br 0.774 0.090 0.675
Br 0.783 0.783 0.188
Br 0.910 0.226 0.325

---

Most stable structure: #x